(1)
CaGeH | PBE-GGA | relaxed Values from VASP.

## Properties
Relative energy among the computed polymorphs in meV per atom: 25

Quantum ESPRESSO input file:
```
&SYSTEM
  ibrav = 0, nat = 6, ntyp = 3
/
ATOMIC_SPECIES
Ca 40.08 Ca.upf
Ge 72.64 Ge.upf
H 1.01 H.upf
CELL_PARAMETERS angstrom
-1.916 -1.107 -2.935
-1.166 -2.941 1.871
-6.132 4.014 2.488
ATOMIC_POSITIONS crystal
Ca 0.000 0.500 0.334
Ca 0.500 0.000 0.666
Ge 0.000 0.500 0.932
Ge 0.500 0.000 0.068
H 0.000 0.000 0.500
H 0.500 0.500 0.500
```

***

(2)
VRuC3 | PBE-GGA | relaxed Values from VASP.

## Properties
Relative energy among the computed polymorphs in meV per atom: 54

Quantum ESPRESSO input file:
```
&SYSTEM
  ibrav = 0, nat = 5, ntyp = 3
/
ATOMIC_SPECIES
Ru 101.07 Ru.upf
C 12.01 C.upf
V 50.94 V.upf
CELL_PARAMETERS angstrom
-3.752 0.599 0.573
-0.715 -3.683 -0.831
0.420 -0.918 3.708
ATOMIC_POSITIONS crystal
Ru 0.500 0.500 0.500
C 0.000 0.500 0.000
C 0.000 0.000 0.500
C 0.500 0.000 0.000
V 0.000 0.000 0.000
```

***

(3)
Cs2TlBi2Au | PBE-GGA | relaxed Values from VASP.

## Properties
Total DFT energy (no corrections) in eV per atom: -2.7683

Quantum ESPRESSO input file:
```
&SYSTEM
  ibrav = 0, nat = 12, ntyp = 4
/
ATOMIC_SPECIES
Cs 132.91 Cs.upf
Tl 204.38 Tl.upf
Bi 208.98 Bi.upf
Au 196.97 Au.upf
CELL_PARAMETERS angstrom
-6.769 3.117 -2.287
0.999 -3.072 -7.146
-1.140 -6.981 7.145
ATOMIC_POSITIONS crystal
Cs 0.410 0.165 0.329
Cs 0.590 0.835 0.671
Cs 0.081 0.335 0.671
Cs 0.919 0.665 0.329
Tl 0.000 0.750 0.000
Tl 0.000 0.250 0.000
Bi 0.794 0.081 0.163
Bi 0.369 0.581 0.163
Bi 0.631 0.419 0.837
Bi 0.206 0.919 0.837
Au 0.500 0.750 0.000
Au 0.500 0.250 0.000
```

***

(4)
LiHfB | PBE-GGA | relaxed Values from VASP.

## Properties
Relative energy among the computed polymorphs in meV per atom: 247

Quantum ESPRESSO input file:
```
&SYSTEM
  ibrav = 0, nat = 6, ntyp = 3
/
ATOMIC_SPECIES
B 10.81 B.upf
Hf 178.49 Hf.upf
Li 6.94 Li.upf
CELL_PARAMETERS angstrom
-0.331 3.057 -0.010
-0.340 1.526 4.385
6.641 0.725 1.302
ATOMIC_POSITIONS crystal
B 0.236 0.152 0.759
B 0.813 0.998 0.836
Hf 0.517 0.591 0.774
Hf 0.749 0.127 0.483
Li 0.253 0.119 0.072
Li 0.988 0.648 0.204
```

***

(5)
Ac2PmPd | PBE-GGA | relaxed Values from VASP.

## Properties
Relative energy among the computed polymorphs in meV per atom: 0

Quantum ESPRESSO input file:
```
&SYSTEM
  ibrav = 0, nat = 16, ntyp = 3
/
ATOMIC_SPECIES
Ac 227.00 Ac.upf
Pm 145.00 Pm.upf
Pd 106.42 Pd.upf
CELL_PARAMETERS angstrom
6.932 0.000 0.000
0.000 7.564 0.000
0.000 0.000 10.618
ATOMIC_POSITIONS crystal
Ac 0.168 0.682 0.065
Ac 0.332 0.182 0.435
Ac 0.832 0.318 0.565
Ac 0.668 0.818 0.935
Ac 0.832 0.318 0.935
Ac 0.668 0.818 0.565
Ac 0.168 0.682 0.435
Ac 0.332 0.182 0.065
Pm 0.659 0.534 0.250
Pm 0.841 0.034 0.250
Pm 0.341 0.466 0.750
Pm 0.159 0.966 0.750
Pd 0.056 0.377 0.250
Pd 0.444 0.877 0.250
Pd 0.944 0.623 0.750
Pd 0.556 0.123 0.750
```

***

(6)
PIrI2 | PBE-GGA | relaxed Values from VASP.

## Properties
Relative energy among the computed polymorphs in meV per atom: 0

Quantum ESPRESSO input file:
```
&SYSTEM
  ibrav = 0, nat = 8, ntyp = 3
/
ATOMIC_SPECIES
I 126.90 I.upf
P 30.97 P.upf
Ir 192.22 Ir.upf
CELL_PARAMETERS angstrom
-2.829 6.641 -0.137
-6.615 -2.803 0.710
-4.387 2.144 4.295
ATOMIC_POSITIONS crystal
I 0.655 0.125 0.250
I 0.095 0.625 0.250
I 0.375 0.345 0.750
I 0.875 0.905 0.750
P 0.500 0.500 0.000
P 0.250 0.750 0.500
Ir 0.000 0.000 0.000
Ir 0.750 0.250 0.500
```

***

(7)
MnV2Rh8 | PBE-GGA | relaxed Values from VASP.

## Properties
Total DFT energy (no corrections) in eV per atom: -8.0034

Quantum ESPRESSO input file:
```
&SYSTEM
  ibrav = 0, nat = 11, ntyp = 3
/
ATOMIC_SPECIES
Mn 54.94 Mn.upf
V 50.94 V.upf
Rh 102.91 Rh.upf
CELL_PARAMETERS angstrom
3.831 0.000 -1.163
-0.823 6.093 -2.710
0.039 -0.579 7.017
ATOMIC_POSITIONS crystal
Mn 0.500 0.000 0.000
V 0.202 0.702 0.403
V 0.798 0.298 0.597
Rh 0.655 0.868 0.311
Rh 0.345 0.557 0.689
Rh 0.149 0.149 0.299
Rh 0.000 0.308 0.000
Rh 0.851 0.851 0.701
Rh 0.655 0.443 0.311
Rh 0.345 0.132 0.689
Rh 0.000 0.692 0.000
```

***

(8)
SbOs2Pd2 | PBE-GGA | relaxed Values from VASP.

## Properties
Relative energy among the computed polymorphs in meV per atom: 230

Quantum ESPRESSO input file:
```
&SYSTEM
  ibrav = 0, nat = 5, ntyp = 3
/
ATOMIC_SPECIES
Sb 121.76 Sb.upf
Os 190.23 Os.upf
Pd 106.42 Pd.upf
CELL_PARAMETERS angstrom
3.697 0.000 0.000
0.000 3.697 0.000
1.849 1.849 6.369
ATOMIC_POSITIONS crystal
Sb 0.000 0.000 0.000
Os 0.403 0.403 0.193
Os 0.597 0.597 0.807
Pd 0.750 0.250 0.500
Pd 0.250 0.750 0.500
```